## SmU (PBE)

Data for a relaxed structure of SmU.

Lattice parameters (Å, degrees): 6.1873 6.1873 6.1873 90.00 90.00 90.00
Space group Fm-3m (No. 225)
Inequivalent atoms, fractional coordinates:
Sm1 0.0000 0.0000 0.0000 x4
U1 0.0000 0.0000 0.5000 x4

Properties
The relative energy among the computed polymorphs comes out at 1.72 eV per formula unit. For the density, the calculation gives 10.89 g cm⁻³. The value obtained for the formation energy is 2.81 eV per formula unit. The calculation puts the total energy at -6.600 eV per atom.

## SmU (PBE)

Data for a relaxed structure of SmU.

Lattice parameters (Å, degrees): 6.1846 6.1846 6.1846 90.00 90.00 90.00
Space group F-43m (No. 216)
Inequivalent atoms, fractional coordinates:
Sm1 0.0000 0.0000 0.0000 x4
U1 0.2500 0.2500 0.7500 x4

Properties
The relative energy among the computed polymorphs comes out at 3.28 eV per formula unit. For the density, the calculation gives 10.91 g cm⁻³. The value obtained for the formation energy is 4.36 eV per formula unit. The calculation puts the total energy at -5.822 eV per atom.

## SmU (PBE)

Data for a relaxed structure of SmU.

Lattice parameters (Å, degrees): 3.2413 3.2413 5.8642 90.00 90.00 120.00
Space group P-6m2 (No. 187)
Inequivalent atoms, fractional coordinates:
Sm1 0.0000 0.0000 0.0000 x1
U1 0.6667 0.3333 0.5000 x1

Properties
The relative energy among the computed polymorphs comes out at 0.00 eV per formula unit. For the density, the calculation gives 12.09 g cm⁻³. The value obtained for the formation energy is 1.09 eV per formula unit. The calculation puts the total energy at -7.460 eV per atom.